1.
A plane-wave DFT calculation with PBE was carried out for crystalline LaBRh4 at its relaxed geometry. Values from VASP.

Output
* space-group type: Cmcm
* ΔE_f: -0.45 eV/atom

Quantum ESPRESSO input file:
```
&SYSTEM
  ibrav = 0, nat = 12, ntyp = 3
/
ATOMIC_SPECIES
La 138.91 La.upf
B 10.81 B.upf
Rh 102.91 Rh.upf
ATOMIC_POSITIONS angstrom
La 2.171 5.797 4.530
La 2.171 -5.797 1.510
B 2.171 1.503 4.530
B 2.171 -1.503 1.510
Rh 2.171 5.604 1.510
Rh 2.171 2.908 3.061
Rh 2.171 2.908 5.998
Rh 2.171 0.000 0.000
Rh 2.171 0.000 3.020
Rh 2.171 -2.908 0.041
Rh 2.171 -2.908 2.979
Rh 2.171 -5.604 4.530
CELL_PARAMETERS angstrom
2.171 -7.289 0.000
2.171 7.289 0.000
0.000 0.000 6.040
```

***

2.
A plane-wave DFT calculation with PBE was carried out for crystalline LaB4Rh6 at its relaxed geometry. Values from VASP.

Output
* space-group type: Fmm2
* ΔE_f: -0.28 eV/atom

Quantum ESPRESSO input file:
```
&SYSTEM
  ibrav = 0, nat = 11, ntyp = 3
/
ATOMIC_SPECIES
La 138.91 La.upf
B 10.81 B.upf
Rh 102.91 Rh.upf
ATOMIC_POSITIONS angstrom
La 0.000 0.000 0.000
B 4.079 2.987 3.529
B 5.167 4.082 4.727
B 4.079 5.177 3.529
B 2.991 4.082 4.727
Rh 6.119 6.123 8.262
Rh 5.668 4.082 2.369
Rh 2.490 4.082 2.369
Rh 2.040 2.041 4.130
Rh 4.079 2.493 5.893
Rh 4.079 5.672 5.893
CELL_PARAMETERS angstrom
0.000 4.082 4.132
4.079 0.000 4.132
4.079 4.082 0.000
```

***

3.
A plane-wave DFT calculation with PBE was carried out for crystalline LaB4Rh12 at its relaxed geometry. Values from VASP.

Output
* space-group type: Im-3
* ΔE_f: -0.07 eV/atom

Quantum ESPRESSO input file:
```
&SYSTEM
  ibrav = 0, nat = 17, ntyp = 3
/
ATOMIC_SPECIES
La 138.91 La.upf
B 10.81 B.upf
Rh 102.91 Rh.upf
ATOMIC_POSITIONS angstrom
La 0.000 0.000 0.000
B 1.953 1.953 -1.953
B 1.953 -1.953 1.953
B -1.953 1.953 1.953
B 1.953 1.953 1.953
Rh 3.906 2.547 -1.370
Rh 2.536 0.000 1.359
Rh 5.275 0.000 1.359
Rh 1.359 2.536 0.000
Rh 2.547 -1.370 3.906
Rh 0.000 1.359 2.536
Rh 3.906 2.547 1.370
Rh 1.359 5.275 0.000
Rh 2.547 1.370 3.906
Rh -1.370 3.906 2.547
Rh 1.370 3.906 2.547
Rh 0.000 1.359 5.275
CELL_PARAMETERS angstrom
-3.906 3.906 3.906
3.906 -3.906 3.906
3.906 3.906 -3.906
```

***

4.
A plane-wave DFT calculation with PBE was carried out for crystalline La2B4Rh5 at its relaxed geometry. Values from VASP.

Output
* space-group type: Fmmm
* ΔE_f: -0.69 eV/atom

Quantum ESPRESSO input file:
```
&SYSTEM
  ibrav = 0, nat = 11, ntyp = 3
/
ATOMIC_SPECIES
La 138.91 La.upf
B 10.81 B.upf
Rh 102.91 Rh.upf
ATOMIC_POSITIONS angstrom
La 2.774 5.044 1.632
La 2.774 5.044 9.737
B 2.774 3.415 4.210
B 2.774 3.415 7.159
B 2.774 6.672 4.210
B 2.774 6.672 7.159
Rh 1.387 2.522 0.000
Rh 1.387 2.522 2.842
Rh 1.387 2.522 5.685
Rh 2.774 5.044 5.685
Rh 4.162 7.566 8.527
CELL_PARAMETERS angstrom
0.000 5.044 5.685
2.774 0.000 5.685
2.774 5.044 0.000
```

***

5.
A plane-wave DFT calculation with PBE was carried out for crystalline La5B4Rh15 at its relaxed geometry. Values from VASP.

Output
* space-group type: P4/mmm
* ΔE_f: -0.64 eV/atom

Quantum ESPRESSO input file:
```
&SYSTEM
  ibrav = 0, nat = 24, ntyp = 3
/
ATOMIC_SPECIES
La 138.91 La.upf
B 10.81 B.upf
Rh 102.91 Rh.upf
ATOMIC_POSITIONS angstrom
La 0.000 0.000 0.000
La 0.000 0.000 4.242
La 0.000 0.000 8.480
La 0.000 0.000 12.477
La 0.000 0.000 16.715
B 2.145 2.145 2.156
B 2.145 2.145 6.509
B 2.145 2.145 14.448
B 2.145 2.145 18.801
Rh 0.000 2.145 2.131
Rh 0.000 2.145 6.365
Rh 0.000 2.145 10.479
Rh 0.000 2.145 14.592
Rh 0.000 2.145 18.826
Rh 2.145 0.000 2.131
Rh 2.145 0.000 6.365
Rh 2.145 0.000 10.479
Rh 2.145 0.000 14.592
Rh 2.145 0.000 18.826
Rh 2.145 2.145 0.000
Rh 2.145 2.145 4.299
Rh 2.145 2.145 8.586
Rh 2.145 2.145 12.371
Rh 2.145 2.145 16.658
CELL_PARAMETERS angstrom
4.289 0.000 0.000
0.000 4.289 0.000
0.000 0.000 20.957
```

***

6.
A plane-wave DFT calculation with PBE was carried out for crystalline La2B6Rh9 at its relaxed geometry. Values from VASP.

Output
* space-group type: P6/mmm
* ΔE_f: -0.65 eV/atom

Quantum ESPRESSO input file:
```
&SYSTEM
  ibrav = 0, nat = 17, ntyp = 3
/
ATOMIC_SPECIES
La 138.91 La.upf
B 10.81 B.upf
Rh 102.91 Rh.upf
ATOMIC_POSITIONS angstrom
La 0.000 0.000 1.829
La 0.000 0.000 6.730
B 0.000 3.288 1.420
B 0.000 3.288 4.280
B 0.000 3.288 7.139
B 2.848 1.644 1.420
B 2.848 1.644 4.280
B 2.848 1.644 7.139
Rh -1.424 2.466 0.000
Rh -1.424 2.466 2.882
Rh -1.424 2.466 5.677
Rh 2.848 0.000 0.000
Rh 2.848 0.000 2.882
Rh 2.848 0.000 5.677
Rh 1.424 2.466 0.000
Rh 1.424 2.466 2.882
Rh 1.424 2.466 5.677
CELL_PARAMETERS angstrom
5.695 0.000 0.000
-2.848 4.932 0.000
0.000 0.000 8.559
```

***

7.
A plane-wave DFT calculation with PBE was carried out for crystalline LaBRu2Rh at its relaxed geometry. Values from VASP.

Output
* space-group type: P4/mmm
* ΔE_f: -0.34 eV/atom

Quantum ESPRESSO input file:
```
&SYSTEM
  ibrav = 0, nat = 5, ntyp = 4
/
ATOMIC_SPECIES
La 138.91 La.upf
B 10.81 B.upf
Ru 101.07 Ru.upf
Rh 102.91 Rh.upf
ATOMIC_POSITIONS angstrom
La 0.000 0.000 0.000
B 2.144 2.144 2.130
Ru 0.000 2.144 2.130
Ru 2.144 0.000 2.130
Rh 2.144 2.144 0.000
CELL_PARAMETERS angstrom
4.288 0.000 0.000
0.000 4.288 0.000
0.000 0.000 4.260
```

***

8.
A plane-wave DFT calculation with PBE was carried out for crystalline LaB2RuRh at its relaxed geometry. Values from VASP.

Output
* space-group type: I-4m2
* ΔE_f: -0.58 eV/atom

Quantum ESPRESSO input file:
```
&SYSTEM
  ibrav = 0, nat = 5, ntyp = 4
/
ATOMIC_SPECIES
La 138.91 La.upf
B 10.81 B.upf
Ru 101.07 Ru.upf
Rh 102.91 Rh.upf
ATOMIC_POSITIONS angstrom
La 0.000 0.000 0.000
B 0.000 0.000 3.316
B 0.000 0.000 6.767
Ru 1.977 0.000 2.521
Rh 0.000 1.977 2.521
CELL_PARAMETERS angstrom
-1.977 1.977 5.041
1.977 -1.977 5.041
1.977 1.977 -5.041
```

***

9.
A plane-wave DFT calculation with PBE was carried out for crystalline La2B3SbRh12 at its relaxed geometry. Values from VASP.

Output
* space-group type: R-3m
* formation energy (no corrections): -3.671 eV per formula unit

Quantum ESPRESSO input file:
```
&SYSTEM
  ibrav = 0, nat = 18, ntyp = 4
/
ATOMIC_SPECIES
La 138.91 La.upf
B 10.81 B.upf
Sb 121.76 Sb.upf
Rh 102.91 Rh.upf
ATOMIC_POSITIONS angstrom
La 0.000 0.000 1.614
La 0.000 0.000 15.629
B -1.901 -1.098 5.748
B -1.901 1.098 11.496
B 0.000 2.195 5.748
Sb 0.000 0.000 8.622
Rh -2.257 -1.303 7.822
Rh 0.000 -1.714 6.204
Rh -1.484 0.857 6.204
Rh 0.000 -2.607 9.421
Rh -2.257 1.303 9.421
Rh -1.484 -0.857 11.040
Rh 1.484 0.857 6.204
Rh 2.257 -1.303 7.822
Rh 0.000 2.607 7.822
Rh 1.484 -0.857 11.040
Rh 0.000 1.714 11.040
Rh 2.257 1.303 9.421
CELL_PARAMETERS angstrom
3.802 2.195 5.748
-3.802 2.195 5.748
0.000 -4.391 5.748
```

***

10.
A plane-wave DFT calculation with PBE was carried out for crystalline La3B2SbRh9 at its relaxed geometry. Values from VASP.

Output
* space-group type: P-3m1
* formation energy (no corrections): -9.355 eV per formula unit

Quantum ESPRESSO input file:
```
&SYSTEM
  ibrav = 0, nat = 15, ntyp = 4
/
ATOMIC_SPECIES
La 138.91 La.upf
B 10.81 B.upf
Sb 121.76 Sb.upf
Rh 102.91 Rh.upf
ATOMIC_POSITIONS angstrom
La 0.000 0.000 0.000
La 0.000 3.428 5.738
La 2.968 1.714 3.048
B 0.000 3.428 1.256
B 2.968 1.714 7.530
Sb 0.000 0.000 4.393
Rh -1.484 2.571 0.000
Rh 0.000 1.706 2.408
Rh -1.491 4.288 2.408
Rh 1.478 0.853 6.378
Rh 2.968 0.000 0.000
Rh 1.484 2.571 0.000
Rh 1.491 4.288 2.408
Rh 4.459 0.853 6.378
Rh 2.968 3.435 6.378
CELL_PARAMETERS angstrom
5.937 0.000 0.000
-2.968 5.141 0.000
0.000 0.000 8.786
```

***

11.
A plane-wave DFT calculation with PBE was carried out for crystalline LaBSbRh6 at its relaxed geometry. Values from VASP.

Output
* space-group type: Imma
* formation energy (no corrections): -1.370 eV per formula unit

Quantum ESPRESSO input file:
```
&SYSTEM
  ibrav = 0, nat = 18, ntyp = 4
/
ATOMIC_SPECIES
La 138.91 La.upf
B 10.81 B.upf
Sb 121.76 Sb.upf
Rh 102.91 Rh.upf
ATOMIC_POSITIONS angstrom
La 0.000 2.161 2.474
La 2.977 2.161 3.333
B 2.977 0.000 0.000
B 0.000 0.000 5.808
Sb 1.488 2.161 -2.904
Sb 1.488 -2.161 2.904
Rh 1.477 -0.059 1.382
Rh 4.476 -0.059 1.382
Rh 2.977 -2.161 5.426
Rh 2.977 2.161 0.281
Rh 1.477 4.263 -1.382
Rh 1.500 -0.059 4.425
Rh 1.477 4.381 1.382
Rh 1.500 0.059 7.190
Rh 0.000 2.161 5.526
Rh 0.000 6.483 0.381
Rh -1.500 4.381 4.425
Rh 1.500 4.381 4.425
CELL_PARAMETERS angstrom
-2.977 4.322 5.808
2.977 -4.322 5.808
2.977 4.322 -5.808
```

***

12.
A plane-wave DFT calculation with PBE was carried out for crystalline LaBRh2Se at its relaxed geometry. Values from VASP.

Output
* space-group type: P4/mmm
* formation energy (no corrections): -2.587 eV per formula unit

Quantum ESPRESSO input file:
```
&SYSTEM
  ibrav = 0, nat = 5, ntyp = 4
/
ATOMIC_SPECIES
La 138.91 La.upf
B 10.81 B.upf
Rh 102.91 Rh.upf
Se 78.96 Se.upf
ATOMIC_POSITIONS angstrom
La 0.000 0.000 0.000
B 0.000 0.000 2.703
Rh 0.000 2.077 2.703
Rh 2.077 0.000 2.703
Se 2.077 2.077 0.000
CELL_PARAMETERS angstrom
4.153 0.000 0.000
0.000 4.153 0.000
0.000 0.000 5.406
```

***

Total DFT energy (no corrections) for the records above, in order: -7.282; -7.165; -7.123; -7.357; -7.379; -7.478; -7.845; -7.561; -6.994; -7.185; -6.801; -6.476 eV per atom